DFT (PBE) results for TlIn2Pd after structural relaxation.

Cell lengths 3.4665, 3.4665, 27.8533 Å; angles 90.00, 90.00, 120.00 degrees
Space group R3m (No. 160, hexagonal axes)
One atom of each set of equivalent atoms:
1 Tl 0.0000 0.0000 0.0000 (multiplicity 3)
2 In 0.0000 0.0000 0.5681 (multiplicity 3)
3 In 0.0000 0.0000 0.7631 (multiplicity 3)
4 Pd 0.0000 0.0000 0.1654 (multiplicity 3)

Results
density of states at the Fermi level = 0.485 states/eV per atom
E_form = -3.40 kcal/mol of atoms


DFT (PBE) results for Tl2InPd9 after structural relaxation.

Cell lengths 4.0664, 4.0664, 12.2207 Å; angles 90.00, 90.00, 90.00 degrees
Space group P4/mmm (No. 123)
One atom of each set of equivalent atoms:
1 Tl 0.0000 0.0000 0.1677 (multiplicity 2)
2 In 0.0000 0.0000 0.5000 (multiplicity 1)
3 Pd 0.0000 0.5000 0.0000 (multiplicity 2)
4 Pd 0.0000 0.5000 0.3372 (multiplicity 4)
5 Pd 0.5000 0.5000 0.1688 (multiplicity 2)
6 Pd 0.5000 0.5000 0.5000 (multiplicity 1)

Results
density of states at the Fermi level = 1.203 states/eV per atom
E_form = -6.13 kcal/mol of atoms


DFT (PBE) results for TlIn2Pd after structural relaxation.

Cell lengths 7.1975, 7.1975, 7.1975 Å; angles 90.00, 90.00, 90.00 degrees
Space group Fm-3m (No. 225)
One atom of each set of equivalent atoms:
1 Tl 0.0000 0.0000 0.0000 (multiplicity 4)
2 In 0.2500 0.2500 0.2500 (multiplicity 8)
3 Pd 0.0000 0.0000 0.5000 (multiplicity 4)

Results
density of states at the Fermi level = 0.691 states/eV per atom
E_form = 0.24 kcal/mol of atoms


DFT (PBE) results for TlIn2Pd9 after structural relaxation.

Cell lengths 4.0508, 4.0508, 12.1753 Å; angles 90.00, 90.00, 90.00 degrees
Space group P4/mmm (No. 123)
One atom of each set of equivalent atoms:
1 Tl 0.0000 0.0000 0.0000 (multiplicity 1)
2 In 0.0000 0.0000 0.3345 (multiplicity 2)
3 Pd 0.0000 0.5000 0.1707 (multiplicity 4)
4 Pd 0.0000 0.5000 0.5000 (multiplicity 2)
5 Pd 0.5000 0.5000 0.0000 (multiplicity 1)
6 Pd 0.5000 0.5000 0.3356 (multiplicity 2)

Results
density of states at the Fermi level = 1.153 states/eV per atom
E_form = -8.02 kcal/mol of atoms


DFT (PBE) results for Tl2InPd5 after structural relaxation.

Cell lengths 4.4146, 4.4146, 14.7517 Å; angles 90.00, 90.00, 90.00 degrees
Space group I4/mmm (No. 139)
One atom of each set of equivalent atoms:
1 Tl 0.0000 0.0000 0.2439 (multiplicity 4)
2 In 0.0000 0.0000 0.5000 (multiplicity 2)
3 Pd 0.0000 0.0000 0.0000 (multiplicity 2)
4 Pd 0.0000 0.5000 0.1190 (multiplicity 8)

Results
density of states at the Fermi level = 0.525 states/eV per atom
E_form = -5.40 kcal/mol of atoms


DFT (PBE) results for TlIn2Pd2 after structural relaxation.

Cell lengths 4.2952, 4.2952, 12.3145 Å; angles 90.00, 90.00, 90.00 degrees
Space group I4/mmm (No. 139)
One atom of each set of equivalent atoms:
1 Tl 0.0000 0.0000 0.0000 (multiplicity 2)
2 In 0.0000 0.5000 0.2500 (multiplicity 4)
3 Pd 0.0000 0.0000 0.3893 (multiplicity 4)

Results
density of states at the Fermi level = 0.467 states/eV per atom
E_form = -4.10 kcal/mol of atoms


DFT (PBE) results for TlIn6Pd12 after structural relaxation.

Cell lengths 12.0146, 12.0146, 8.4112 Å; angles 90.00, 90.00, 120.00 degrees
Space group R-3 (No. 148, hexagonal axes)
One atom of each set of equivalent atoms:
1 Tl 0.0000 0.0000 0.0000 (multiplicity 3)
2 In 0.0481 0.8271 0.7385 (multiplicity 18)
3 Pd 0.0509 0.8084 0.0769 (multiplicity 18)
4 Pd 0.0594 0.8254 0.4167 (multiplicity 18)

Results
density of states at the Fermi level = 0.411 states/eV per atom
E_form = -8.28 kcal/mol of atoms


DFT (PBE) results for Tl3InPd12 after structural relaxation.

Cell lengths 4.0830, 4.0830, 16.2090 Å; angles 90.00, 90.00, 90.00 degrees
Space group P4/mmm (No. 123)
One atom of each set of equivalent atoms:
1 Tl 0.0000 0.0000 0.0000 (multiplicity 1)
2 Tl 0.0000 0.0000 0.2515 (multiplicity 2)
3 In 0.0000 0.0000 0.5000 (multiplicity 1)
4 Pd 0.0000 0.5000 0.1260 (multiplicity 4)
5 Pd 0.0000 0.5000 0.3783 (multiplicity 4)
6 Pd 0.5000 0.5000 0.0000 (multiplicity 1)
7 Pd 0.5000 0.5000 0.2524 (multiplicity 2)
8 Pd 0.5000 0.5000 0.5000 (multiplicity 1)

Results
density of states at the Fermi level = 1.104 states/eV per atom
E_form = -5.65 kcal/mol of atoms


DFT (PBE) results for Tl2In2Pd7 after structural relaxation.

Cell lengths 8.0359, 9.3861, 6.1038 Å; angles 90.00, 90.00, 90.00 degrees
Space group Cmmm (No. 65)
One atom of each set of equivalent atoms:
1 Tl 0.1878 0.0000 0.0000 (multiplicity 4)
2 In 0.0000 0.2834 0.5000 (multiplicity 4)
3 Pd 0.0000 0.0000 0.5000 (multiplicity 2)
4 Pd 0.0000 0.5000 0.2219 (multiplicity 4)
5 Pd 0.2500 0.2500 0.2277 (multiplicity 8)

Results
density of states at the Fermi level = 0.428 states/eV per atom
E_form = -1.01 kcal/mol of atoms


DFT (PBE) results for Tl2In2Pd after structural relaxation.

Cell lengths 7.3197, 7.3197, 4.9778 Å; angles 90.00, 90.00, 90.00 degrees
Space group P4/mbm (No. 127)
One atom of each set of equivalent atoms:
1 Tl 0.1553 0.3447 0.0000 (multiplicity 4)
2 In 0.1633 0.6633 0.5000 (multiplicity 4)
3 Pd 0.0000 0.0000 0.0000 (multiplicity 2)

Results
density of states at the Fermi level = 0.357 states/eV per atom
E_form = 2.30 kcal/mol of atoms


DFT (PBE) results for Tl3InPd6 after structural relaxation.

Cell lengths 10.7210, 12.7093, 5.7372 Å; angles 90.00, 90.00, 90.00 degrees
Space group Cmc2_1 (No. 36)
One atom of each set of equivalent atoms:
1 Tl 0.0000 0.0972 0.0000 (multiplicity 4)
2 Tl 0.2073 0.4309 0.7080 (multiplicity 8)
3 In 0.0000 0.3103 0.2395 (multiplicity 4)
4 Pd 0.0000 0.2859 0.7262 (multiplicity 4)
5 Pd 0.0000 0.4942 0.9731 (multiplicity 4)
6 Pd 0.1299 0.0936 0.5697 (multiplicity 8)
7 Pd 0.2461 0.2726 0.3819 (multiplicity 8)

Results
density of states at the Fermi level = 0.407 states/eV per atom
E_form = -3.17 kcal/mol of atoms


DFT (PBE) results for Tl2In2Pd after structural relaxation.

Cell lengths 4.1001, 4.1001, 16.7104 Å; angles 90.00, 90.00, 90.00 degrees
Space group I4/mmm (No. 139)
One atom of each set of equivalent atoms:
1 Tl 0.0000 0.5000 0.2500 (multiplicity 4)
2 In 0.0000 0.0000 0.0849 (multiplicity 4)
3 Pd 0.0000 0.0000 0.5000 (multiplicity 2)

Results
density of states at the Fermi level = 0.524 states/eV per atom
E_form = 6.54 kcal/mol of atoms